# 1
A geometry-optimized LaSmBe2Ge2 structure. Source: OQMD, functional GGA-PBE.

The value obtained for the magnetic moment is 0.01 μB per formula unit. Its final energy is -30.2 eV/cell.

The structure belongs to space group P-3m1 (No. 164); the cell edges are 4.0026, 4.0026 and 8.5935 Å and the angles 90.00°, 90.00° and 120.00°. The asymmetric unit holds La at (0.0000, 0.0000, 0.0000), Sm at (0.0000, 0.0000, 0.5000), Be at (0.3333, 0.6667, 0.2567) and Ge at (0.3333, 0.6667, 0.7415).

=====

# 2
A geometry-optimized LaTmBe2Ge2 structure. Source: OQMD, functional GGA-PBE.

The value obtained for the magnetic moment is 0.05 μB per formula unit. Its final energy is -29.9 eV/cell.

The structure belongs to space group P-3m1 (No. 164); the cell edges are 3.9606, 3.9606 and 8.3841 Å and the angles 90.00°, 90.00° and 120.00°. The asymmetric unit holds La at (0.0000, 0.0000, 0.0000), Tm at (0.0000, 0.0000, 0.5000), Be at (0.3333, 0.6667, 0.2663) and Ge at (0.3333, 0.6667, 0.7324).

=====

# 3
A geometry-optimized LiBeZnGe structure. Source: OQMD, functional GGA-PBE.

Its final energy is -45.3 eV/cell.

The structure belongs to space group F-43m (No. 216); the cell edges are 5.9832, 5.9832 and 5.9832 Å and the angles 90.00°, 90.00° and 90.00°. The asymmetric unit holds Li at (0.0000, 0.0000, 0.0000), Be at (0.0000, 0.0000, 0.5000), Zn at (0.2500, 0.2500, 0.7500) and Ge at (0.2500, 0.2500, 0.2500).

=====

# 4
A geometry-optimized LuBeNiGe structure. Source: OQMD, functional GGA-PBE.

The value obtained for the magnetic moment is 0.00 μB per formula unit. Its final energy is -77.3 eV/cell.

The structure belongs to space group F-43m (No. 216); the cell edges are 6.1271, 6.1271 and 6.1271 Å and the angles 90.00°, 90.00° and 90.00°. The asymmetric unit holds Lu at (0.0000, 0.0000, 0.0000), Be at (0.2500, 0.2500, 0.2500), Ni at (0.2500, 0.2500, 0.7500) and Ge at (0.0000, 0.0000, 0.5000).

=====

# 5
A geometry-optimized MgBeNiGe structure. Source: OQMD, functional GGA-PBE.

The value obtained for the magnetic moment is 0.01 μB per formula unit. Its final energy is -61.1 eV/cell.

The structure belongs to space group F-43m (No. 216); the cell edges are 5.9409, 5.9409 and 5.9409 Å and the angles 90.00°, 90.00° and 90.00°. The asymmetric unit holds Mg at (0.0000, 0.0000, 0.0000), Be at (0.2500, 0.2500, 0.2500), Ni at (0.0000, 0.0000, 0.5000) and Ge at (0.2500, 0.2500, 0.7500).

=====

# 6
A geometry-optimized MgBeNiGe structure. Source: OQMD, functional GGA-PBE.

The value obtained for the magnetic moment is 0.00 μB per formula unit. Its final energy is -61.2 eV/cell.

The structure belongs to space group F-43m (No. 216); the cell edges are 5.9092, 5.9092 and 5.9092 Å and the angles 90.00°, 90.00° and 90.00°. The asymmetric unit holds Mg at (0.0000, 0.0000, 0.0000), Be at (0.2500, 0.2500, 0.7500), Ni at (0.2500, 0.2500, 0.2500) and Ge at (0.0000, 0.0000, 0.5000).

=====

# 7
A geometry-optimized MgBeGePd structure. Source: OQMD, functional GGA-PBE.

Its final energy is -61.8 eV/cell.

The structure belongs to space group F-43m (No. 216); the cell edges are 6.1664, 6.1664 and 6.1664 Å and the angles 90.00°, 90.00° and 90.00°. The asymmetric unit holds Mg at (0.0000, 0.0000, 0.0000), Be at (0.2500, 0.2500, 0.2500), Ge at (0.2500, 0.2500, 0.7500) and Pd at (0.0000, 0.0000, 0.5000).

=====

# 8
A geometry-optimized MgBeGePd structure. Source: OQMD, functional GGA-PBE.

Its final energy is -62.1 eV/cell.

The structure belongs to space group F-43m (No. 216); the cell edges are 6.1833, 6.1833 and 6.1833 Å and the angles 90.00°, 90.00° and 90.00°. The asymmetric unit holds Mg at (0.0000, 0.0000, 0.0000), Be at (0.0000, 0.0000, 0.5000), Ge at (0.2500, 0.2500, 0.2500) and Pd at (0.2500, 0.2500, 0.7500).

=====

# 9
A geometry-optimized BeGeMo structure. Source: OQMD, functional GGA-PBE.

The value obtained for the magnetic moment is 1.30 μB per formula unit. Its final energy is -72.0 eV/cell.

The structure belongs to space group F-43m (No. 216); the cell edges are 5.4883, 5.4883 and 5.4883 Å and the angles 90.00°, 90.00° and 90.00°. The asymmetric unit holds Be at (0.0000, 0.0000, 0.0000), Ge at (0.2500, 0.2500, 0.7500) and Mo at (0.2500, 0.2500, 0.2500).

=====

# 10
A geometry-optimized BeGe2Mo structure. Source: OQMD, functional GGA-PBE.

The value obtained for the magnetic moment is 0.01 μB per formula unit. Its final energy is -84.7 eV/cell.

The structure belongs to space group F-43m (No. 216); the cell edges are 6.1981, 6.1981 and 6.1981 Å and the angles 90.00°, 90.00° and 90.00°. The asymmetric unit holds Be at (0.0000, 0.0000, 0.0000), Ge at (0.0000, 0.0000, 0.5000), Ge at (0.2500, 0.2500, 0.7500) and Mo at (0.2500, 0.2500, 0.2500).

=====

# 11
A geometry-optimized BeNiGeMo structure. Source: OQMD, functional GGA-PBE.

The value obtained for the magnetic moment is 0.00 μB per formula unit. Its final energy is -98.6 eV/cell.

The structure belongs to space group F-43m (No. 216); the cell edges are 5.8339, 5.8339 and 5.8339 Å and the angles 90.00°, 90.00° and 90.00°. The asymmetric unit holds Be at (0.0000, 0.0000, 0.0000), Ni at (0.2500, 0.2500, 0.7500), Ge at (0.0000, 0.0000, 0.5000) and Mo at (0.2500, 0.2500, 0.2500).

=====

# 12
A geometry-optimized BeNiGeMo structure. Source: OQMD, functional GGA-PBE.

The value obtained for the magnetic moment is 1.43 μB per formula unit. Its final energy is -94.6 eV/cell.

The structure belongs to space group F-43m (No. 216); the cell edges are 5.8560, 5.8560 and 5.8560 Å and the angles 90.00°, 90.00° and 90.00°. The asymmetric unit holds Be at (0.0000, 0.0000, 0.0000), Ni at (0.0000, 0.0000, 0.5000), Ge at (0.2500, 0.2500, 0.2500) and Mo at (0.2500, 0.2500, 0.7500).

=====

# 13
A geometry-optimized BeGeTeMo structure. Source: OQMD, functional GGA-PBE.

The value obtained for the magnetic moment is 0.08 μB per formula unit. Its final energy is -75.4 eV/cell.

The structure belongs to space group F-43m (No. 216); the cell edges are 6.4777, 6.4777 and 6.4777 Å and the angles 90.00°, 90.00° and 90.00°. The asymmetric unit holds Be at (0.0000, 0.0000, 0.0000), Ge at (0.0000, 0.0000, 0.5000), Te at (0.2500, 0.2500, 0.2500) and Mo at (0.2500, 0.2500, 0.7500).

=====

# 14
A geometry-optimized BeGeTeMo structure. Source: OQMD, functional GGA-PBE.

The value obtained for the magnetic moment is 0.02 μB per formula unit. Its final energy is -79.2 eV/cell.

The structure belongs to space group F-43m (No. 216); the cell edges are 6.4511, 6.4511 and 6.4511 Å and the angles 90.00°, 90.00° and 90.00°. The asymmetric unit holds Be at (0.0000, 0.0000, 0.0000), Ge at (0.2500, 0.2500, 0.7500), Te at (0.2500, 0.2500, 0.2500) and Mo at (0.0000, 0.0000, 0.5000).

=====

# 15
A geometry-optimized BeZnGe2N4 structure. Source: OQMD, functional GGA-PBE.

Its final energy is -101.1 eV/cell.

The structure belongs to space group I-4 (No. 82); the cell edges are 4.3656, 4.3656 and 8.6776 Å and the angles 90.00°, 90.00° and 90.00°. The asymmetric unit holds Be at (0.0000, 0.0000, 0.0000), Zn at (0.0000, 0.5000, 0.7500), Ge at (0.0000, 0.0000, 0.5000), Ge at (0.0000, 0.5000, 0.2500) and N at (0.2269, 0.2551, 0.1150).

=====

# 16
A geometry-optimized BeNb2Ge structure. Source: OQMD, functional GGA-PBE.

The value obtained for the magnetic moment is 0.00 μB per formula unit. Its final energy is -60.7 eV/cell.

The structure belongs to space group P2_1/m (No. 11); the cell edges are 5.0866, 3.5475 and 7.0335 Å and the angles 90.00°, 110.40° and 90.00°. The asymmetric unit holds Be at (0.1555, 0.2500, 0.2892), Nb at (0.3004, 0.7500, 0.0821), Nb at (0.3122, 0.7500, 0.5713) and Ge at (0.1384, 0.2500, 0.7827).

=====

# 17
A geometry-optimized BeNb2Ge structure. Source: OQMD, functional GGA-PBE.

The value obtained for the magnetic moment is 0.01 μB per formula unit. Its final energy is -109.9 eV/cell.

The structure belongs to space group F-43m (No. 216); the cell edges are 6.2851, 6.2851 and 6.2851 Å and the angles 90.00°, 90.00° and 90.00°. The asymmetric unit holds Be at (0.0000, 0.0000, 0.0000), Nb at (0.0000, 0.0000, 0.5000), Nb at (0.2500, 0.2500, 0.2500) and Ge at (0.2500, 0.2500, 0.7500).

=====

# 18
A geometry-optimized BeNbGe structure. Source: OQMD, functional GGA-PBE.

The value obtained for the magnetic moment is 0.39 μB per formula unit. Its final energy is -71.2 eV/cell.

The structure belongs to space group F-43m (No. 216); the cell edges are 5.6025, 5.6025 and 5.6025 Å and the angles 90.00°, 90.00° and 90.00°. The asymmetric unit holds Be at (0.0000, 0.0000, 0.0000), Nb at (0.2500, 0.2500, 0.2500) and Ge at (0.2500, 0.2500, 0.7500).

=====

# 19
A geometry-optimized Be2NbGe structure. Source: OQMD, functional GGA-PBE.

The value obtained for the magnetic moment is 0.06 μB per formula unit. Its final energy is -81.6 eV/cell.

The structure belongs to space group F-43m (No. 216); the cell edges are 5.9800, 5.9800 and 5.9800 Å and the angles 90.00°, 90.00° and 90.00°. The asymmetric unit holds Be at (0.0000, 0.0000, 0.0000), Be at (0.2500, 0.2500, 0.2500), Nb at (0.2500, 0.2500, 0.7500) and Ge at (0.0000, 0.0000, 0.5000).

=====

# 20
A geometry-optimized BeNbNiGe structure. Source: OQMD, functional GGA-PBE.

The value obtained for the magnetic moment is 0.67 μB per formula unit. Its final energy is -94.1 eV/cell.

The structure belongs to space group F-43m (No. 216); the cell edges are 5.9508, 5.9508 and 5.9508 Å and the angles 90.00°, 90.00° and 90.00°. The asymmetric unit holds Be at (0.0000, 0.0000, 0.0000), Nb at (0.2500, 0.2500, 0.7500), Ni at (0.0000, 0.0000, 0.5000) and Ge at (0.2500, 0.2500, 0.2500).